A plane-wave DFT calculation with PBE-GGA was carried out for a geometry-optimized Tl2GaC structure.

Output
Symmetry: Fm-3m
Offset from the most stable computed form, meV/atom: 270
D(E_F), states/eV per cell: 2.09
Energy of formation, eV/atom: 1.3494
Final energy, eV for the cell shown: -11.59

abc: 4.955 4.955 4.955
angles: 60.00 60.00 60.00
Positions (direct):
Tl 0.250 0.250 0.250
Tl 0.750 0.750 0.750
Ga 0.000 0.000 0.000
C 0.500 0.500 0.500